Below is a geometry-optimized SrTa3Cr structure, with properties calculated at the PBEsol level.

Cell and atoms, written as POSCAR:
```
SrTa3Cr
1.0
4.780 0.000 0.000
0.000 4.780 0.000
0.000 0.000 4.780
Sr Ta Cr
1 3 1
direct
0.000 0.000 0.000 Sr
0.000 0.000 0.500 Ta
0.000 0.500 0.000 Ta
0.500 0.000 0.000 Ta
0.500 0.500 0.500 Cr
```

Results
- N(E_F): 6.7 states/eV/cell
- Calculated formation energy: 3.107 eV/atom
- Total magnetic moment: 3.62 μB/f.u.